(1)
Y2MnSi12O28: PBEsol geometry, SCAN.

Unit cell a=12.966 b=12.966 c=12.966 alpha=146.21 beta=108.41 gamma=81.56
Positions (direct):
1 Y 0.021 0.250 0.771
2 Y 0.479 0.250 0.229
3 Y 0.521 0.750 0.771
4 Y 0.979 0.750 0.229
5 Mn 0.250 0.250 0.000
6 Mn 0.750 0.750 0.000
7 Si 0.024 0.502 0.228
8 Si 0.073 0.891 0.666
9 Si 0.128 0.178 0.306
10 Si 0.168 0.763 0.931
11 Si 0.225 0.407 0.334
12 Si 0.226 0.998 0.523
13 Si 0.274 0.797 0.772
14 Si 0.275 0.609 0.182
15 Si 0.332 0.263 0.595
16 Si 0.372 0.678 0.050
17 Si 0.427 0.093 0.818
18 Si 0.476 0.703 0.477
19 Si 0.524 0.297 0.523
20 Si 0.573 0.907 0.182
21 Si 0.628 0.322 0.950
22 Si 0.668 0.737 0.405
23 Si 0.725 0.391 0.818
24 Si 0.726 0.203 0.228
25 Si 0.774 0.002 0.477
26 Si 0.775 0.593 0.666
27 Si 0.832 0.237 0.069
28 Si 0.872 0.822 0.694
29 Si 0.927 0.109 0.334
30 Si 0.976 0.498 0.772
31 O 0.008 0.176 0.317
32 O 0.011 0.544 0.939
33 O 0.037 0.736 0.431
34 O 0.066 0.594 0.793
35 O 0.081 0.104 0.806
36 O 0.105 0.044 0.532
37 O 0.133 0.965 0.098
38 O 0.142 0.309 0.317
39 O 0.146 0.459 0.260
40 O 0.196 0.764 0.301
41 O 0.199 0.728 0.793
42 O 0.200 0.886 0.740
43 O 0.202 0.396 0.977
44 O 0.225 0.267 0.493
45 O 0.275 0.767 0.042
46 O 0.298 0.275 0.194
47 O 0.300 0.041 0.686
48 O 0.301 0.094 0.528
49 O 0.304 0.605 0.569
50 O 0.354 0.614 0.314
51 O 0.358 0.676 0.167
52 O 0.367 0.465 0.831
53 O 0.395 0.928 0.939
54 O 0.419 0.225 0.023
55 O 0.434 0.228 0.528
56 O 0.463 0.895 0.699
57 O 0.489 0.428 0.532
58 O 0.492 0.809 0.167
59 O 0.508 0.191 0.833
60 O 0.511 0.572 0.468
61 O 0.537 0.105 0.301
62 O 0.566 0.772 0.472
63 O 0.581 0.775 0.977
64 O 0.605 0.072 0.061
65 O 0.633 0.535 0.169
66 O 0.642 0.324 0.833
67 O 0.646 0.386 0.686
68 O 0.696 0.395 0.431
69 O 0.699 0.906 0.472
70 O 0.700 0.959 0.314
71 O 0.702 0.725 0.806
72 O 0.725 0.233 0.958
73 O 0.775 0.733 0.507
74 O 0.798 0.604 0.023
75 O 0.800 0.114 0.260
76 O 0.801 0.272 0.207
77 O 0.804 0.236 0.699
78 O 0.854 0.541 0.740
79 O 0.858 0.691 0.683
80 O 0.867 0.035 0.902
81 O 0.895 0.956 0.468
82 O 0.919 0.896 0.194
83 O 0.934 0.406 0.207
84 O 0.963 0.264 0.569
85 O 0.989 0.456 0.061
86 O 0.992 0.824 0.683

Computed properties:
Spin magnetization (Bohr magnetons per cell): 10.00
Formation energy without anion corrections (eV/atom): -3.1297
Calculated total energy (eV per atom): -11.702
Calculated volume (Å³/cell): 1122

=====

(2)
Nb3HgP: PBEsol geometry, SCAN.

Unit cell a=4.595 b=4.595 c=4.595 alpha=90.00 beta=90.00 gamma=90.00
Positions (direct):
1 Nb 0.000 0.000 0.500
2 Nb 0.000 0.500 0.000
3 Nb 0.500 0.000 0.000
4 Hg 0.500 0.500 0.500
5 P 0.000 0.000 0.000

Computed properties:
Spin magnetization (Bohr magnetons per cell): 0.01
Calculated total energy (eV per atom): -35.365
Calculated volume (Å³/cell): 97

=====

(3)
TlFeRuPb2: PBEsol geometry, SCAN.

Unit cell a=5.148 b=5.148 c=5.185 alpha=90.00 beta=90.00 gamma=90.00
Positions (direct):
1 Tl 0.000 0.000 0.000
2 Fe 0.500 0.500 0.000
3 Ru 0.000 0.000 0.500
4 Pb 0.000 0.500 0.500
5 Pb 0.500 0.000 0.500

Computed properties:
Spin magnetization (Bohr magnetons per cell): 3.03
Calculated total energy (eV per atom): -54.638
Calculated volume (Å³/cell): 137

=====

calculated total energy of number 3 (TlFeRuPb2)?
-54.638 eV per atom

=====

Look up the calculated total energy of the third one.
-54.638 eV per atom

=====

What is the calculated volume in the third record?
137 Å³/cell

=====

Which of these has the highest calculated volume?
Y2MnSi12O28